1.
Material: NaSc2P
Method: DFT, GGA-PBE
State: optimized geometry

## Properties
space-group type: R-3m (166)
DFT formation energy: -0.52 eV/atom
density: 2.2 g cm⁻³
E_tot: -5.36 eV/atom
total magnetization: 0.000 μB/f.u.

Lattice parameters (Å, degrees): 9.882 9.882 9.882 21.13 21.13 21.13
Fractional positions:
Na (0.000, 0.000, 0.000)
Sc (0.117, 0.117, 0.117)
Sc (0.883, 0.883, 0.883)
P (0.500, 0.500, 0.500)

=====

2.
Material: NaSc2P2
Method: DFT, GGA-PBE
State: optimized geometry

## Properties
space-group type: P4/mbm (127)
DFT formation energy: -0.91 eV/atom
density: 3.1 g cm⁻³
E_tot: -5.87 eV/atom
total magnetization: 0.769 μB/f.u.
relative energy among the computed polymorphs: 0 meV/atom

Lattice parameters (Å, degrees): 7.342 7.342 3.498 90.00 90.00 90.00
Fractional positions:
Na (0.000, 0.000, 0.000)
Na (0.500, 0.500, 0.000)
Sc (0.149, 0.351, 0.500)
Sc (0.351, 0.851, 0.500)
Sc (0.649, 0.149, 0.500)
Sc (0.851, 0.649, 0.500)
P (0.153, 0.653, 0.000)
P (0.347, 0.153, 0.000)
P (0.653, 0.847, 0.000)
P (0.847, 0.347, 0.000)

=====

3.
Material: NaSc2TaP
Method: DFT, GGA-PBE
State: optimized geometry

## Properties
space-group type: P4/mmm (123)
DFT formation energy: 0.39 eV/atom
density: 4.1 g cm⁻³
E_tot: -5.85 eV/atom
total magnetization: 0.000 μB/f.u.
relative energy among the computed polymorphs: 0 meV/atom

Lattice parameters (Å, degrees): 5.247 5.247 4.835 90.00 90.00 90.00
Fractional positions:
Na (0.000, 0.000, 0.000)
Sc (0.000, 0.500, 0.500)
Sc (0.500, 0.000, 0.500)
Ta (0.500, 0.500, 0.500)
P (0.500, 0.500, 0.000)

=====

4.
Material: NaSc2TaP
Method: DFT, GGA-PBE
State: optimized geometry

## Properties
space-group type: P4/mmm (123)
DFT formation energy: 1.25 eV/atom
density: 5.2 g cm⁻³
E_tot: -5.00 eV/atom
total magnetization: 0.000 μB/f.u.
relative energy among the computed polymorphs: 857 meV/atom

Lattice parameters (Å, degrees): 4.818 4.818 4.504 90.00 90.00 90.00
Fractional positions:
Na (0.000, 0.000, 0.000)
Sc (0.000, 0.500, 0.000)
Sc (0.500, 0.000, 0.000)
Ta (0.500, 0.500, 0.500)
P (0.000, 0.000, 0.500)

=====

5.
Material: Na2ScTiP
Method: DFT, GGA-PBE
State: optimized geometry

## Properties
space-group type: P4/mmm (123)
DFT formation energy: 0.46 eV/atom
density: 2.1 g cm⁻³
E_tot: -3.99 eV/atom
total magnetization: 0.757 μB/f.u.

Lattice parameters (Å, degrees): 5.185 5.185 5.061 90.00 90.00 90.00
Fractional positions:
Na (0.000, 0.500, 0.000)
Na (0.500, 0.000, 0.000)
Sc (0.000, 0.000, 0.500)
Ti (0.500, 0.500, 0.500)
P (0.000, 0.000, 0.000)

=====

6.
Material: NaScTi2P
Method: DFT, GGA-PBE
State: optimized geometry

## Properties
space-group type: P4/mmm (123)
DFT formation energy: 1.35 eV/atom
density: 3.0 g cm⁻³
E_tot: -4.42 eV/atom
total magnetization: 0.000 μB/f.u.

Lattice parameters (Å, degrees): 4.677 4.677 4.957 90.00 90.00 90.00
Fractional positions:
Na (0.000, 0.000, 0.000)
Sc (0.000, 0.000, 0.500)
Ti (0.000, 0.500, 0.500)
Ti (0.500, 0.000, 0.500)
P (0.500, 0.500, 0.000)

=====

7.
Material: NaSc2TlP
Method: DFT, GGA-PBE
State: optimized geometry

## Properties
space-group type: P4/mmm (123)
DFT formation energy: -0.39 eV/atom
density: 4.6 g cm⁻³
E_tot: -4.75 eV/atom
total magnetization: 0.000 μB/f.u.

Lattice parameters (Å, degrees): 4.969 4.969 5.125 90.00 90.00 90.00
Fractional positions:
Na (0.000, 0.000, 0.000)
Sc (0.000, 0.500, 0.500)
Sc (0.500, 0.000, 0.500)
Tl (0.500, 0.500, 0.000)
P (0.000, 0.000, 0.500)

=====

8.
Material: NaSc2PW
Method: DFT, GGA-PBE
State: optimized geometry

## Properties
space-group type: P4/mmm (123)
DFT formation energy: 1.13 eV/atom
density: 4.2 g cm⁻³
E_tot: -5.33 eV/atom
total magnetization: 0.837 μB/f.u.

Lattice parameters (Å, degrees): 4.978 4.978 5.200 90.00 90.00 90.00
Fractional positions:
Na (0.000, 0.000, 0.000)
Sc (0.000, 0.500, 0.500)
Sc (0.500, 0.000, 0.500)
P (0.500, 0.500, 0.000)
W (0.000, 0.000, 0.500)

=====

9.
Material: Na2ZrScP
Method: DFT, GGA-PBE
State: optimized geometry

## Properties
space-group type: P4/mmm (123)
DFT formation energy: 0.41 eV/atom
density: 2.6 g cm⁻³
E_tot: -4.18 eV/atom
total magnetization: 2.440 μB/f.u.

Lattice parameters (Å, degrees): 5.178 5.178 5.066 90.00 90.00 90.00
Fractional positions:
Na (0.000, 0.500, 0.000)
Na (0.500, 0.000, 0.000)
Zr (0.000, 0.000, 0.500)
Sc (0.500, 0.500, 0.500)
P (0.500, 0.500, 0.000)

=====

10.
Material: Na2P2Se5
Method: DFT, GGA-PBE
State: optimized geometry

## Properties
space-group type: C2/m (12)
formation energy (no corrections): -0.31 eV per atom
density: 3.5 g cm⁻³
E_tot: -3.74 eV/atom
total magnetization: 0.000 μB/f.u.

Lattice parameters (Å, degrees): 7.298 7.298 6.983 102.99 102.99 41.71
Fractional positions:
Na (0.126, 0.126, 0.359)
Na (0.874, 0.874, 0.641)
P (0.341, 0.341, 0.121)
P (0.659, 0.659, 0.879)
Se (0.169, 0.169, 0.959)
Se (0.358, 0.358, 0.441)
Se (0.500, 0.500, 0.000)
Se (0.642, 0.642, 0.559)
Se (0.831, 0.831, 0.041)

=====

11.
Material: Na3PSe3
Method: DFT, GGA-PBE
State: optimized geometry

## Properties
space-group type: Cmcm (63)
formation energy (no corrections): -0.53 eV per atom
density: 2.6 g cm⁻³
E_tot: -3.36 eV/atom
total magnetization: 0.000 μB/f.u.

Lattice parameters (Å, degrees): 9.333 9.333 5.806 90.00 90.00 119.93
Fractional positions:
Na (0.177, 0.823, 0.750)
Na (0.178, 0.355, 0.750)
Na (0.355, 0.178, 0.250)
Na (0.645, 0.822, 0.750)
Na (0.822, 0.645, 0.250)
Na (0.823, 0.177, 0.250)
P (0.333, 0.667, 0.250)
P (0.667, 0.333, 0.750)
Se (0.190, 0.380, 0.250)
Se (0.190, 0.810, 0.250)
Se (0.380, 0.190, 0.750)
Se (0.620, 0.810, 0.250)
Se (0.810, 0.190, 0.750)
Se (0.810, 0.620, 0.750)

=====

12.
Material: NaPSe3
Method: DFT, GGA-PBE
State: optimized geometry

## Properties
space-group type: Pm-3m (221)
formation energy (no corrections): 1.14 eV per atom
density: 3.8 g cm⁻³
E_tot: -2.30 eV/atom
total magnetization: 0.001 μB/f.u.
relative energy among the computed polymorphs: 1563 meV/atom

Lattice parameters (Å, degrees): 5.042 5.042 5.042 90.00 90.00 90.00
Fractional positions:
Na (0.000, 0.000, 0.000)
P (0.500, 0.500, 0.500)
Se (0.000, 0.000, 0.500)
Se (0.000, 0.500, 0.000)
Se (0.500, 0.000, 0.000)

=====

13.
Material: Na2PSe3
Method: DFT, GGA-PBE
State: optimized geometry

## Properties
space-group type: C2/c (15)
formation energy (no corrections): -0.52 eV per atom
density: 3.6 g cm⁻³
E_tot: -3.60 eV/atom
total magnetization: 0.000 μB/f.u.
relative energy among the computed polymorphs: 190 meV/atom

Lattice parameters (Å, degrees): 7.424 7.424 7.189 104.04 104.04 49.69
Fractional positions:
Na (0.162, 0.180, 0.084)
Na (0.180, 0.162, 0.584)
Na (0.820, 0.838, 0.416)
Na (0.838, 0.820, 0.916)
P (0.426, 0.574, 0.750)
P (0.574, 0.426, 0.250)
Se (0.068, 0.932, 0.750)
Se (0.360, 0.369, 0.431)
Se (0.369, 0.360, 0.931)
Se (0.631, 0.640, 0.069)
Se (0.640, 0.631, 0.569)
Se (0.932, 0.068, 0.250)

=====

14.
Material: Na4PSe5
Method: DFT, GGA-PBE
State: optimized geometry

## Properties
space-group type: I4 (79)
formation energy (no corrections): -0.58 eV per atom
density: 3.2 g cm⁻³
E_tot: -3.39 eV/atom
total magnetization: 0.867 μB/f.u.

Lattice parameters (Å, degrees): 7.261 7.261 7.261 100.17 100.17 130.32
Fractional positions:
Na (0.107, 0.713, 0.820)
Na (0.287, 0.107, 0.394)
Na (0.713, 0.893, 0.606)
Na (0.893, 0.287, 0.180)
P (0.419, 0.419, 0.000)
Se (0.052, 0.052, 0.000)
Se (0.265, 0.439, 0.692)
Se (0.439, 0.746, 0.174)
Se (0.573, 0.265, 0.826)
Se (0.746, 0.573, 0.308)

=====

15.
Material: NaP2Se6
Method: DFT, GGA-PBE
State: optimized geometry

## Properties
space-group type: C2/c (15)
formation energy (no corrections): -0.15 eV per atom
density: 3.4 g cm⁻³
E_tot: -3.82 eV/atom
total magnetization: 0.591 μB/f.u.

Lattice parameters (Å, degrees): 9.943 9.943 6.197 106.01 106.01 98.25
Fractional positions:
Na (0.217, 0.783, 0.750)
Na (0.783, 0.217, 0.250)
P (0.203, 0.341, 0.733)
P (0.341, 0.203, 0.233)
P (0.659, 0.797, 0.767)
P (0.797, 0.659, 0.267)
Se (0.017, 0.158, 0.618)
Se (0.157, 0.536, 0.920)
Se (0.158, 0.017, 0.118)
Se (0.283, 0.404, 0.451)
Se (0.404, 0.283, 0.951)
Se (0.464, 0.843, 0.580)
Se (0.536, 0.157, 0.420)
Se (0.596, 0.717, 0.049)
Se (0.717, 0.596, 0.549)
Se (0.842, 0.983, 0.882)
Se (0.843, 0.464, 0.080)
Se (0.983, 0.842, 0.382)

=====

16.
Material: Na2PSe
Method: DFT, GGA-PBE
State: optimized geometry

## Properties
space-group type: Fm-3m (225)
formation energy (no corrections): -0.16 eV per atom
density: 3.1 g cm⁻³
E_tot: -3.04 eV/atom
total magnetization: 0.000 μB/f.u.
relative energy among the computed polymorphs: 22 meV/atom

Lattice parameters (Å, degrees): 4.918 4.918 4.918 60.00 60.00 60.00
Fractional positions:
Na (0.250, 0.250, 0.250)
Na (0.750, 0.750, 0.750)
P (0.000, 0.000, 0.000)
Se (0.500, 0.500, 0.500)

=====

17.
Material: NaPSe3
Method: DFT, GGA-PBE
State: optimized geometry

## Properties
space-group type: P-1 (2)
formation energy (no corrections): -0.43 eV per atom
density: 3.5 g cm⁻³
E_tot: -3.86 eV/atom
total magnetization: 0.000 μB/f.u.
relative energy among the computed polymorphs: 0 meV/atom

Lattice parameters (Å, degrees): 6.770 6.837 7.445 64.26 87.22 64.92
Fractional positions:
Na (0.212, 0.248, 0.252)
Na (0.788, 0.752, 0.748)
P (0.167, 0.057, 0.851)
P (0.833, 0.943, 0.149)
Se (0.216, 0.800, 0.198)
Se (0.247, 0.354, 0.804)
Se (0.313, 0.855, 0.683)
Se (0.687, 0.145, 0.317)
Se (0.753, 0.646, 0.196)
Se (0.784, 0.200, 0.802)

=====

18.
Material: Na2PSe3
Method: DFT, GGA-PBE
State: optimized geometry

## Properties
space-group type: Cmce (64)
formation energy (no corrections): -0.56 eV per atom
density: 3.0 g cm⁻³
E_tot: -3.65 eV/atom
total magnetization: 0.000 μB/f.u.
relative energy among the computed polymorphs: 145 meV/atom

Lattice parameters (Å, degrees): 7.367 7.367 14.325 90.00 90.00 118.46
Fractional positions:
Na (0.035, 0.965, 0.828)
Na (0.157, 0.843, 0.421)
Na (0.343, 0.657, 0.921)
Na (0.465, 0.535, 0.328)
Na (0.535, 0.465, 0.672)
Na (0.657, 0.343, 0.079)
Na (0.843, 0.157, 0.579)
Na (0.965, 0.035, 0.172)
P (0.240, 0.760, 0.153)
P (0.260, 0.740, 0.653)
P (0.740, 0.260, 0.347)
P (0.760, 0.240, 0.847)
Se (0.058, 0.442, 0.750)
Se (0.088, 0.912, 0.626)
Se (0.140, 0.860, 0.027)
Se (0.360, 0.640, 0.527)
Se (0.412, 0.588, 0.126)
Se (0.442, 0.058, 0.250)
Se (0.558, 0.942, 0.750)
Se (0.588, 0.412, 0.874)
Se (0.640, 0.360, 0.473)
Se (0.860, 0.140, 0.973)
Se (0.912, 0.088, 0.374)
Se (0.942, 0.558, 0.250)

=====

19.
Material: Na2PSe3
Method: DFT, GGA-PBE
State: optimized geometry

## Properties
space-group type: Cmce (64)
formation energy (no corrections): -0.71 eV per atom
density: 3.2 g cm⁻³
E_tot: -3.79 eV/atom
total magnetization: 0.000 μB/f.u.
relative energy among the computed polymorphs: 0 meV/atom

Lattice parameters (Å, degrees): 8.990 8.990 8.080 90.00 90.00 96.75
Fractional positions:
Na (0.185, 0.815, 0.842)
Na (0.223, 0.277, 0.750)
Na (0.277, 0.223, 0.250)
Na (0.315, 0.685, 0.342)
Na (0.685, 0.315, 0.658)
Na (0.723, 0.777, 0.750)
Na (0.777, 0.723, 0.250)
Na (0.815, 0.185, 0.158)
P (0.078, 0.922, 0.445)
P (0.422, 0.578, 0.945)
P (0.578, 0.422, 0.055)
P (0.922, 0.078, 0.555)
Se (0.001, 0.693, 0.532)
Se (0.052, 0.948, 0.174)
Se (0.193, 0.501, 0.032)
Se (0.307, 0.999, 0.532)
Se (0.448, 0.552, 0.674)
Se (0.499, 0.807, 0.032)
Se (0.501, 0.193, 0.968)
Se (0.552, 0.448, 0.326)
Se (0.693, 0.001, 0.468)
Se (0.807, 0.499, 0.968)
Se (0.948, 0.052, 0.826)
Se (0.999, 0.307, 0.468)

=====

20.
Material: Na8P2Se
Method: DFT, GGA-PBE
State: optimized geometry

## Properties
space-group type: Immm (71)
formation energy (no corrections): -0.50 eV per atom
density: 2.1 g cm⁻³
E_tot: -2.76 eV/atom
total magnetization: 0.000 μB/f.u.

Lattice parameters (Å, degrees): 8.498 8.498 8.498 146.73 131.01 60.50
Fractional positions:
Na (0.115, 0.345, 0.770)
Na (0.179, 0.179, 0.000)
Na (0.288, 0.000, 0.288)
Na (0.425, 0.655, 0.770)
Na (0.575, 0.345, 0.230)
Na (0.712, 0.000, 0.712)
Na (0.821, 0.821, 0.000)
Na (0.885, 0.655, 0.230)
P (0.321, 0.821, 0.500)
P (0.679, 0.179, 0.500)
Se (0.000, 0.500, 0.500)